Compound: YHoCdSi
Source: Alexandria via LeMat-Bulk
Functional: GGA-PBE
Structure: relaxed

```
4
Lattice="-0.7236 -4.1671 -2.8381 0.1038 -4.6077 2.1683 -4.2997 -2.6890 0.4739" Properties=species:S:1:pos:R:3 pbc="T T T"
Y -2.4598 -5.7319 -0.0979
Si -1.2299 -2.8659 -0.0490
Ho 0.0000 0.0000 0.0000
Cd -3.6896 -8.5978 -0.1469
```

**Energy relative to the elements, uncorrected**: -392 meV per atom
**Calculated volume**: 23.36 Å³/atom
**Size of the total moment**: 0.00 μB per formula unit